VASP calculation (PBE) on a relaxed LaHo7Er5 crystal.

Space-group type = No. 44
Energy of formation = 0.249 eV/atom

a b c (Å): 8.6621 8.6621 8.6621
angles (deg): 134.95 100.17 96.72
With the nearest neighbours (Å) after each atom.
Fractional positions:
La  0.0000  0.0000  0.0000  3 Ho 3.44-3.71, 4 Er 3.80
Ho  0.2211  0.5514  0.6697  5 Er 3.44-3.46, 5 Ho 3.51-3.77
Ho  0.2992  0.2992  0.0000  6 Er 3.32-3.46, 1 La 3.44, 1 Ho 3.55
Ho  0.3793  0.0499  0.3294  4 Ho 3.39-3.79, 5 Er 3.41-3.46, 1 La 3.71
Ho  0.6073  0.6073  0.0000  9 Ho 3.55-3.96, 4 Er 3.74
Ho  0.7205  0.0499  0.6706  4 Ho 3.39-3.79, 5 Er 3.41-3.46, 1 La 3.71
Ho  0.7945  0.2945  0.5000  4 Er 3.11, 2 Ho 3.39
Ho  0.8816  0.5514  0.3303  5 Er 3.44-3.46, 5 Ho 3.51-3.77
Er  0.0306  0.0356  0.4680  6 Ho 3.11-3.46, 2 Er 3.14-3.37
Er  0.0306  0.5627  0.9951  6 Ho 3.11-3.46, 2 Er 3.14-3.37
Er  0.3033  0.8033  0.5000  6 Ho 3.32-3.46, 4 Er 3.37
Er  0.5676  0.0356  0.0049  6 Ho 3.11-3.46, 2 Er 3.14-3.37
Er  0.5676  0.5627  0.5320  6 Ho 3.11-3.46, 2 Er 3.14-3.37


VASP calculation (PBE) on a relaxed La2Ho5Er crystal.

Space-group type = No. 139
Energy of formation = 0.033 eV/atom

a b c (Å): 5.0817 5.0817 20.1175
angles (deg): 90.00 90.00 90.00
With the nearest neighbours (Å) after each atom.
Fractional positions:
La  0.0000  0.0000  0.2501  4 La 3.59, 8 Ho 3.63
La  0.0000  0.0000  0.7499  4 La 3.59, 8 Ho 3.63
La  0.5000  0.5000  0.2499  4 La 3.59, 8 Ho 3.63
La  0.5000  0.5000  0.7501  4 La 3.59, 8 Ho 3.63
Ho  0.0000  0.0000  0.0000  8 Ho 3.52, 4 Er 3.59
Ho  0.0000  0.5000  0.1213  6 Ho 3.52-3.59, 2 Er 3.52, 4 La 3.63
Ho  0.0000  0.5000  0.3787  6 Ho 3.52-3.59, 2 Er 3.52, 4 La 3.63
Ho  0.0000  0.5000  0.6213  6 Ho 3.52-3.59, 2 Er 3.52, 4 La 3.63
Ho  0.0000  0.5000  0.8787  6 Ho 3.52-3.59, 2 Er 3.52, 4 La 3.63
Ho  0.5000  0.0000  0.1213  6 Ho 3.52-3.59, 2 Er 3.52, 4 La 3.63
Ho  0.5000  0.0000  0.3787  6 Ho 3.52-3.59, 2 Er 3.52, 4 La 3.63
Ho  0.5000  0.0000  0.6213  6 Ho 3.52-3.59, 2 Er 3.52, 4 La 3.63
Ho  0.5000  0.0000  0.8787  6 Ho 3.52-3.59, 2 Er 3.52, 4 La 3.63
Ho  0.5000  0.5000  0.5000  8 Ho 3.52, 4 Er 3.59
Er  0.0000  0.0000  0.5000  12 Ho 3.52-3.59
Er  0.5000  0.5000  0.0000  12 Ho 3.52-3.59


VASP calculation (PBE) on a relaxed La3Ho2Er3 crystal.

Space-group type = No. 12
Energy of formation = 0.091 eV/atom
Distance to the lowest polymorph of the same formula = 55 meV/atom

a b c (Å): 16.6022 5.7365 6.0275
angles (deg): 90.00 110.43 90.00
With the nearest neighbours (Å) after each atom.
Fractional positions:
La  0.0000  0.0000  0.0000  2 La 3.35, 4 Er 3.56
La  0.1358  0.0000  0.6989  1 La 3.35, 4 Ho 3.45-3.56, 5 Er 3.58-3.69
La  0.3642  0.5000  0.3011  1 La 3.35, 4 Ho 3.45-3.56, 5 Er 3.58-3.69
La  0.5000  0.5000  0.0000  2 La 3.35, 4 Er 3.56
La  0.6358  0.5000  0.6989  1 La 3.35, 4 Ho 3.45-3.56, 5 Er 3.58-3.69
La  0.8642  0.0000  0.3011  1 La 3.35, 4 Ho 3.45-3.56, 5 Er 3.58-3.69
Ho  0.2488  0.5000  0.6801  4 Er 3.44-3.56, 4 La 3.45-3.56, 2 Ho 3.61
Ho  0.2512  0.0000  0.3199  4 Er 3.44-3.56, 4 La 3.45-3.56, 2 Ho 3.61
Ho  0.7488  0.0000  0.6801  4 Er 3.44-3.56, 4 La 3.45-3.56, 2 Ho 3.61
Ho  0.7512  0.5000  0.3199  4 Er 3.44-3.56, 4 La 3.45-3.56, 2 Ho 3.61
Er  0.0000  0.5000  0.5000  2 Er 3.44, 4 La 3.59
Er  0.1342  0.5000  0.0818  1 Er 3.44, 4 Ho 3.44-3.56, 5 La 3.56-3.69
Er  0.3658  0.0000  0.9182  1 Er 3.44, 4 Ho 3.44-3.56, 5 La 3.56-3.69
Er  0.5000  0.0000  0.5000  2 Er 3.44, 4 La 3.59
Er  0.6342  0.0000  0.0818  1 Er 3.44, 4 Ho 3.44-3.56, 5 La 3.56-3.69
Er  0.8658  0.5000  0.9182  1 Er 3.44, 4 Ho 3.44-3.56, 5 La 3.56-3.69


VASP calculation (PBE) on a relaxed La2Ho12Er5 crystal.

Space-group type = No. 2
Energy of formation = 0.090 eV/atom
Distance to the lowest polymorph of the same formula = 0 meV/atom

a b c (Å): 6.7298 8.7459 11.3555
angles (deg): 111.06 92.58 100.69
With the nearest neighbours (Å) after each atom.
Fractional positions:
La  0.1544  0.3841  0.0741  9 Ho 3.38-3.74, 3 Er 3.50-3.67
La  0.8456  0.6159  0.9259  9 Ho 3.38-3.74, 3 Er 3.50-3.67
Ho  0.1201  0.7810  0.2490  6 Ho 3.32-3.66, 2 La 3.38-3.68, 4 Er 3.45-3.59
Ho  0.1553  0.9754  0.8661  3 Er 3.39-3.56, 6 Ho 3.41-3.71, 2 La 3.51-3.73
Ho  0.1681  0.5712  0.6843  6 Ho 3.29-3.66, 3 Er 3.32-3.61, 1 La 3.53
Ho  0.3388  0.5556  0.4138  6 Ho 3.29-3.61, 1 Er 3.58, 1 La 3.66
Ho  0.3827  0.1390  0.2332  5 Ho 3.37-3.59, 4 Er 3.39-3.75, 1 La 3.74
Ho  0.3849  0.3029  0.7719  2 Er 3.28-3.50, 5 Ho 3.29-3.54, 1 La 3.62
Ho  0.6151  0.6971  0.2281  2 Er 3.28-3.50, 5 Ho 3.29-3.54, 1 La 3.62
Ho  0.6173  0.8610  0.7668  5 Ho 3.37-3.59, 4 Er 3.39-3.75, 1 La 3.74
Ho  0.6612  0.4444  0.5862  6 Ho 3.29-3.61, 1 Er 3.58, 1 La 3.66
Ho  0.8319  0.4288  0.3157  6 Ho 3.29-3.66, 3 Er 3.32-3.61, 1 La 3.53
Ho  0.8447  0.0246  0.1339  3 Er 3.39-3.56, 6 Ho 3.41-3.71, 2 La 3.51-3.73
Ho  0.8799  0.2190  0.7510  6 Ho 3.32-3.66, 2 La 3.38-3.68, 4 Er 3.45-3.59
Er  0.0457  0.1793  0.4604  7 Ho 3.38-3.73, 2 Er 3.52-3.76
Er  0.3806  0.7358  0.9845  7 Ho 3.28-3.64, 2 La 3.50-3.52
Er  0.5000  0.0000  0.5000  8 Ho 3.45-3.75, 4 Er 3.76-3.83
Er  0.6194  0.2642  0.0155  7 Ho 3.28-3.64, 2 La 3.50-3.52
Er  0.9543  0.8207  0.5396  7 Ho 3.38-3.73, 2 Er 3.52-3.76


VASP calculation (PBE) on a relaxed La2HoEr6 crystal.

Space-group type = No. 15
Energy of formation = 0.117 eV/atom
Distance to the lowest polymorph of the same formula = 79 meV/atom

a b c (Å): 9.5834 9.5834 6.5516
angles (deg): 98.70 98.70 96.08
With the nearest neighbours (Å) after each atom.
Fractional positions:
La  0.1146  0.1714  0.3787  3 La 3.37-3.67, 7 Er 3.43-3.71
La  0.1714  0.1146  0.8787  3 La 3.37-3.67, 7 Er 3.43-3.71
La  0.8286  0.8854  0.1213  3 La 3.37-3.67, 7 Er 3.43-3.71
La  0.8854  0.8286  0.6213  3 La 3.37-3.67, 7 Er 3.43-3.71
Ho  0.3843  0.6157  0.7500  8 Er 3.27-3.65
Ho  0.6157  0.3843  0.2500  8 Er 3.27-3.65
Er  0.0404  0.4435  0.7344  7 Er 3.35-3.71, 2 La 3.43-3.71, 1 Ho 3.51
Er  0.1567  0.7737  0.9982  5 Er 3.22-3.56, 1 Ho 3.27, 3 La 3.45-3.59
Er  0.2263  0.8433  0.5018  5 Er 3.22-3.56, 1 Ho 3.27, 3 La 3.45-3.59
Er  0.2786  0.4596  0.1878  4 Er 3.27-3.66, 2 Ho 3.36-3.65, 2 La 3.52-3.57
Er  0.4435  0.0404  0.2344  7 Er 3.35-3.71, 2 La 3.43-3.71, 1 Ho 3.51
Er  0.4596  0.2786  0.6878  4 Er 3.27-3.66, 2 Ho 3.36-3.65, 2 La 3.52-3.57
Er  0.5404  0.7214  0.3122  4 Er 3.27-3.66, 2 Ho 3.36-3.65, 2 La 3.52-3.57
Er  0.5565  0.9596  0.7656  7 Er 3.35-3.71, 2 La 3.43-3.71, 1 Ho 3.51
Er  0.7214  0.5404  0.8122  4 Er 3.27-3.66, 2 Ho 3.36-3.65, 2 La 3.52-3.57
Er  0.7737  0.1567  0.4982  5 Er 3.22-3.56, 1 Ho 3.27, 3 La 3.45-3.59
Er  0.8433  0.2263  0.0018  5 Er 3.22-3.56, 1 Ho 3.27, 3 La 3.45-3.59
Er  0.9596  0.5565  0.2656  7 Er 3.35-3.71, 2 La 3.43-3.71, 1 Ho 3.51


VASP calculation (PBE) on a relaxed La2Ho2Er7 crystal.

Space-group type = No. 12
Energy of formation = 0.193 eV/atom
Distance to the lowest polymorph of the same formula = 27 meV/atom

a b c (Å): 6.5837 6.5837 8.4313
angles (deg): 98.41 98.41 88.44
With the nearest neighbours (Å) after each atom.
Fractional positions:
La  0.1115  0.1115  0.3651  7 Er 3.14-3.43, 1 La 3.40
La  0.8885  0.8885  0.6349  7 Er 3.14-3.43, 1 La 3.40
Ho  0.3160  0.6840  0.0000  1 Ho 3.38, 8 Er 3.40-3.66
Ho  0.6840  0.3160  0.0000  1 Ho 3.38, 8 Er 3.40-3.66
Er  0.0005  0.4027  0.6939  3 La 3.29-3.43, 4 Er 3.34-3.68, 2 Ho 3.41-3.66
Er  0.1910  0.1910  0.0216  1 La 3.14, 2 Er 3.34, 4 Ho 3.40-3.41
Er  0.4027  0.0005  0.6939  3 La 3.29-3.43, 4 Er 3.34-3.68, 2 Ho 3.41-3.66
Er  0.5000  0.5000  0.5000  4 Er 3.54, 2 La 3.61
Er  0.5973  0.9995  0.3061  3 La 3.29-3.43, 4 Er 3.34-3.68, 2 Ho 3.41-3.66
Er  0.8090  0.8090  0.9784  1 La 3.14, 2 Er 3.34, 4 Ho 3.40-3.41
Er  0.9995  0.5973  0.3061  3 La 3.29-3.43, 4 Er 3.34-3.68, 2 Ho 3.41-3.66


The highest energy of formation belongs to which entry?
LaHo7Er5